# 1
This record from Alexandria describes a relaxed Zn2SiOs2 crystal. The functional is PBE.

Cell: 6.135 6.135 4.084 Å, 90.00 90.00 90.00°
Sites, in units of the cell vectors:
Zn1 0.160 0.660 0.500
Zn2 0.660 0.840 0.500
Zn3 0.840 0.340 0.500
Zn4 0.340 0.160 0.500
Os1 0.355 0.855 0.000
Os2 0.855 0.645 0.000
Os3 0.645 0.145 0.000
Os4 0.145 0.355 0.000
Si1 0.000 0.000 0.000
Si2 0.500 0.500 0.000

Results
density of states at the Fermi level: 6.49 states/eV/cell
formation energy (no corrections): 53 meV per atom
E_tot: -6.0334 eV per atom

=====

# 2
This record from Alexandria describes a relaxed RbGeSb crystal. The functional is PBE.

Cell: 4.232 4.232 20.427 Å, 90.00 90.00 120.00°
Sites, in units of the cell vectors:
Rb1 0.000 0.000 0.050
Rb2 0.333 0.667 0.716
Rb3 0.667 0.333 0.383
Ge1 0.000 0.000 0.514
Ge2 0.333 0.667 0.180
Ge3 0.667 0.333 0.847
Sb1 0.000 0.000 0.245
Sb2 0.333 0.667 0.911
Sb3 0.667 0.333 0.578

Results
density of states at the Fermi level: 0.27 states/eV/cell
formation energy (no corrections): -241 meV per atom
E_tot: -3.4769 eV per atom

=====

| no. | V (Å³ per atom) |
| --- | --- |
| 1 | 15.37 |
| 2 | 35.20 |